# TmCd3Cu8 (PBE, optimized geometry)
# Energy of formation from the pure elements: -1.35 eV per formula unit
# Total magnetization: 0.000 μB per atom
data_TmCd3Cu8
_cell_length_a 5.0597
_cell_length_b 5.0597
_cell_length_c 24.7919
_cell_angle_alpha 90.00
_cell_angle_beta 90.00
_cell_angle_gamma 120.00
_space_group_name_H-M_alt 'R 3 m'
_space_group_IT_number 160
_space_group_name_Hall 'R 3 -2"'
loop_
_atom_site_label
_atom_site_type_symbol
_atom_site_fract_x
_atom_site_fract_y
_atom_site_fract_z
Tm1 Tm 0.0000 0.0000 0.0000
Cd1 Cd 0.0000 0.0000 0.3786
Cd2 Cd 0.0000 0.0000 0.5003
Cd3 Cd 0.0000 0.0000 0.8724
Cu1 Cu 0.0000 0.0000 0.1873
Cu2 Cu 0.0000 0.0000 0.6876
Cu3 Cu 0.9998 0.4999 0.4376
Cu4 Cu 0.0001 0.5001 0.9370

# Tm4CdCu (PBE, optimized geometry)
# Energy of formation from the pure elements: -0.02 eV per formula unit
# Total magnetization: 0.000 μB per atom
# Offset from the most stable computed form: 160 meV/atom
data_Tm4CdCu
_cell_length_a 6.276
_cell_length_b 8.761
_cell_length_c 5.917
_cell_angle_alpha 90.00
_cell_angle_beta 107.39
_cell_angle_gamma 90.00
_space_group_name_H-M_alt 'P 1 21/c 1'
_space_group_IT_number 14
_space_group_name_Hall '-P 2ybc'
loop_
_atom_site_label
_atom_site_type_symbol
_atom_site_fract_x
_atom_site_fract_y
_atom_site_fract_z
Tm1 Tm 0.112 0.168 0.120
Tm2 Tm 0.366 0.656 0.921
Cd1 Cd 0.500 0.000 0.000
Cu1 Cu 0.000 0.000 0.500

# Tm4CdCu3 (PBE, optimized geometry)
# Energy of formation from the pure elements: -2.10 eV per formula unit
# Total magnetization: 0.000 μB per atom
data_Tm4CdCu3
_cell_length_a 3.479
_cell_length_b 4.978
_cell_length_c 9.855
_cell_angle_alpha 90.00
_cell_angle_beta 90.00
_cell_angle_gamma 90.00
_space_group_name_H-M_alt 'P m m m'
_space_group_IT_number 47
_space_group_name_Hall '-P 2 2'
loop_
_atom_site_label
_atom_site_type_symbol
_atom_site_fract_x
_atom_site_fract_y
_atom_site_fract_z
Tm1 Tm 0.000 0.000 0.000
Tm2 Tm 0.000 0.000 0.500
Tm3 Tm 0.000 0.500 0.235
Cd1 Cd 0.500 0.500 0.500
Cu1 Cu 0.500 0.000 0.252
Cu2 Cu 0.500 0.500 0.000

# Tm4CdCu (PBE, optimized geometry)
# Energy of formation from the pure elements: -0.98 eV per formula unit
# Total magnetization: 0.272 μB per atom
# Offset from the most stable computed form: 0 meV/atom
data_Tm4CdCu
_cell_length_a 3.461
_cell_length_b 3.461
_cell_length_c 12.706
_cell_angle_alpha 90.00
_cell_angle_beta 90.00
_cell_angle_gamma 90.00
_space_group_name_H-M_alt 'P 4/m m m'
_space_group_IT_number 123
_space_group_name_Hall '-P 4 2'
loop_
_atom_site_label
_atom_site_type_symbol
_atom_site_fract_x
_atom_site_fract_y
_atom_site_fract_z
Tm1 Tm 0.000 0.000 0.133
Tm2 Tm 0.500 0.500 0.333
Cd1 Cd 0.000 0.000 0.500
Cu1 Cu 0.500 0.500 0.000

# Tm2Cd3Cu (PBE, optimized geometry)
# Energy of formation from the pure elements: -1.45 eV per formula unit
# Total magnetization: 0.000 μB per atom
data_Tm2Cd3Cu
_cell_length_a 3.382
_cell_length_b 4.794
_cell_length_c 8.323
_cell_angle_alpha 90.00
_cell_angle_beta 90.00
_cell_angle_gamma 90.00
_space_group_name_H-M_alt 'P m m 2'
_space_group_IT_number 25
_space_group_name_Hall 'P 2 -2'
loop_
_atom_site_label
_atom_site_type_symbol
_atom_site_fract_x
_atom_site_fract_y
_atom_site_fract_z
Tm1 Tm 0.000 0.000 0.000
Tm2 Tm 0.000 0.500 0.458
Cd1 Cd 0.500 0.000 0.629
Cd2 Cd 0.500 0.500 0.148
Cd3 Cd 0.500 0.500 0.807
Cu1 Cu 0.500 0.000 0.305

# TmCd2Cu (PBE, optimized geometry)
# Energy of formation from the pure elements: 1.08 eV per formula unit
# Total magnetization: 0.000 μB per atom
data_TmCd2Cu
_cell_length_a 3.1569
_cell_length_b 3.1569
_cell_length_c 31.4112
_cell_angle_alpha 90.00
_cell_angle_beta 90.00
_cell_angle_gamma 120.00
_space_group_name_H-M_alt 'R -3 m'
_space_group_IT_number 166
_space_group_name_Hall '-R 3 2"'
loop_
_atom_site_label
_atom_site_type_symbol
_atom_site_fract_x
_atom_site_fract_y
_atom_site_fract_z
Tm1 Tm 0.0000 0.0000 0.0000
Cd1 Cd 0.0000 0.0000 0.0996
Cu1 Cu 0.0000 0.0000 0.5000

# Tm5CdCu4 (PBE, optimized geometry)
# Energy of formation from the pure elements: -2.92 eV per formula unit
# Total magnetization: 0.000 μB per atom
data_Tm5CdCu4
_cell_length_a 3.421
_cell_length_b 3.421
_cell_length_c 17.954
_cell_angle_alpha 90.00
_cell_angle_beta 90.00
_cell_angle_gamma 90.00
_space_group_name_H-M_alt 'P 4/m m m'
_space_group_IT_number 123
_space_group_name_Hall '-P 4 2'
loop_
_atom_site_label
_atom_site_type_symbol
_atom_site_fract_x
_atom_site_fract_y
_atom_site_fract_z
Tm1 Tm 0.000 0.000 0.000
Tm2 Tm 0.000 0.000 0.191
Tm3 Tm 0.000 0.000 0.380
Cd1 Cd 0.500 0.500 0.500
Cu1 Cu 0.500 0.500 0.095
Cu2 Cu 0.500 0.500 0.288

# Tm4CdCu2 (PBE, optimized geometry)
# Energy of formation from the pure elements: -0.95 eV per formula unit
# Total magnetization: 0.000 μB per atom
# Offset from the most stable computed form: 0 meV/atom
data_Tm4CdCu2
_cell_length_a 4.9390
_cell_length_b 4.9390
_cell_length_c 23.5544
_cell_angle_alpha 90.00
_cell_angle_beta 90.00
_cell_angle_gamma 120.00
_space_group_name_H-M_alt 'R -3 m'
_space_group_IT_number 166
_space_group_name_Hall '-R 3 2"'
loop_
_atom_site_label
_atom_site_type_symbol
_atom_site_fract_x
_atom_site_fract_y
_atom_site_fract_z
Tm1 Tm 0.0000 0.0000 0.1156
Tm2 Tm 0.0000 0.0000 0.3685
Cd1 Cd 0.0000 0.0000 0.5000
Cu1 Cu 0.0000 0.0000 0.2461

# TmCd2Cu (PBE, optimized geometry)
# Energy of formation from the pure elements: -0.39 eV per formula unit
# Total magnetization: 0.000 μB per atom
data_TmCd2Cu
_cell_length_a 4.225
_cell_length_b 4.225
_cell_length_c 4.784
_cell_angle_alpha 90.00
_cell_angle_beta 90.00
_cell_angle_gamma 90.00
_space_group_name_H-M_alt 'P 4/m m m'
_space_group_IT_number 123
_space_group_name_Hall '-P 4 2'
loop_
_atom_site_label
_atom_site_type_symbol
_atom_site_fract_x
_atom_site_fract_y
_atom_site_fract_z
Tm1 Tm 0.000 0.000 0.000
Cd1 Cd 0.000 0.500 0.500
Cu1 Cu 0.500 0.500 0.000

# Tm2Cd2Cu15 (PBE, optimized geometry)
# Energy of formation from the pure elements: -1.94 eV per formula unit
# Total magnetization: 0.000 μB per atom
data_Tm2Cd2Cu15
_cell_length_a 8.7107
_cell_length_b 8.7107
_cell_length_c 12.6830
_cell_angle_alpha 90.00
_cell_angle_beta 90.00
_cell_angle_gamma 120.00
_space_group_name_H-M_alt 'R -3 m'
_space_group_IT_number 166
_space_group_name_Hall '-R 3 2"'
loop_
_atom_site_label
_atom_site_type_symbol
_atom_site_fract_x
_atom_site_fract_y
_atom_site_fract_z
Tm1 Tm 0.0000 0.0000 0.1459
Cd1 Cd 0.0000 0.0000 0.3928
Cu1 Cu 0.0000 0.3095 0.5000
Cu2 Cu 0.0000 0.5000 0.0000
Cu3 Cu 0.0087 0.5044 0.6549

# Tm3CdCu (PBE, optimized geometry)
# Energy of formation from the pure elements: -0.65 eV per formula unit
# Total magnetization: 0.000 μB per atom
data_Tm3CdCu
_cell_length_a 9.540
_cell_length_b 15.080
_cell_length_c 3.440
_cell_angle_alpha 90.00
_cell_angle_beta 90.00
_cell_angle_gamma 90.00
_space_group_name_H-M_alt 'C m m m'
_space_group_IT_number 65
_space_group_name_Hall '-C 2 2'
loop_
_atom_site_label
_atom_site_type_symbol
_atom_site_fract_x
_atom_site_fract_y
_atom_site_fract_z
Tm1 Tm 0.000 0.000 0.000
Tm2 Tm 0.000 0.500 0.500
Tm3 Tm 0.191 0.150 0.500
Cd1 Cd 0.000 0.302 0.000
Cu1 Cu 0.222 0.500 0.000

# TmCd2Cu (PBE, optimized geometry)
# Energy of formation from the pure elements: -0.41 eV per formula unit
# Total magnetization: 0.000 μB per atom
data_TmCd2Cu
_cell_length_a 6.880
_cell_length_b 6.880
_cell_length_c 6.880
_cell_angle_alpha 90.00
_cell_angle_beta 90.00
_cell_angle_gamma 90.00
_space_group_name_H-M_alt 'F m -3 m'
_space_group_IT_number 225
_space_group_name_Hall '-F 4 2 3'
loop_
_atom_site_label
_atom_site_type_symbol
_atom_site_fract_x
_atom_site_fract_y
_atom_site_fract_z
Tm1 Tm 0.000 0.000 0.000
Cd1 Cd 0.250 0.250 0.250
Cu1 Cu 0.000 0.000 0.500

# Tm2CdCu9 (PBE, optimized geometry)
# Energy of formation from the pure elements: -1.50 eV per formula unit
# Total magnetization: 0.000 μB per atom
data_Tm2CdCu9
_cell_length_a 5.0837
_cell_length_b 5.0837
_cell_length_c 24.5549
_cell_angle_alpha 90.00
_cell_angle_beta 90.00
_cell_angle_gamma 120.00
_space_group_name_H-M_alt 'R -3 m'
_space_group_IT_number 166
_space_group_name_Hall '-R 3 2"'
loop_
_atom_site_label
_atom_site_type_symbol
_atom_site_fract_x
_atom_site_fract_y
_atom_site_fract_z
Tm1 Tm 0.0000 0.0000 0.1365
Cd1 Cd 0.0000 0.0000 0.0000
Cu1 Cu 0.0000 0.0000 0.3329
Cu2 Cu 0.0000 0.0000 0.5000
Cu3 Cu 0.0028 0.5014 0.9173

# Tm2Cd3Cu2 (PBE, optimized geometry)
# Energy of formation from the pure elements: -1.71 eV per formula unit
# Total magnetization: 0.000 μB per atom
data_Tm2Cd3Cu2
_cell_length_a 4.213
_cell_length_b 19.823
_cell_length_c 3.593
_cell_angle_alpha 90.00
_cell_angle_beta 90.00
_cell_angle_gamma 90.00
_space_group_name_H-M_alt 'C m m m'
_space_group_IT_number 65
_space_group_name_Hall '-C 2 2'
loop_
_atom_site_label
_atom_site_type_symbol
_atom_site_fract_x
_atom_site_fract_y
_atom_site_fract_z
Tm1 Tm 0.000 0.172 0.000
Cd1 Cd 0.000 0.000 0.000
Cd2 Cd 0.000 0.423 0.500
Cu1 Cu 0.000 0.285 0.500

# Tm6CdCu5 (PBE, optimized geometry)
# Energy of formation from the pure elements: -3.28 eV per formula unit
# Total magnetization: 0.000 μB per atom
data_Tm6CdCu5
_cell_length_a 4.907
_cell_length_b 14.683
_cell_length_c 6.940
_cell_angle_alpha 90.00
_cell_angle_beta 90.00
_cell_angle_gamma 90.00
_space_group_name_H-M_alt 'C m m m'
_space_group_IT_number 65
_space_group_name_Hall '-C 2 2'
loop_
_atom_site_label
_atom_site_type_symbol
_atom_site_fract_x
_atom_site_fract_y
_atom_site_fract_z
Tm1 Tm 0.000 0.000 0.237
Tm2 Tm 0.000 0.328 0.245
Cd1 Cd 0.000 0.500 0.500
Cu1 Cu 0.000 0.161 0.500
Cu2 Cu 0.000 0.165 0.000
Cu3 Cu 0.000 0.500 0.000

# Tm4CdCu2 (PBE, optimized geometry)
# Energy of formation from the pure elements: -0.17 eV per formula unit
# Total magnetization: 0.000 μB per atom
# Offset from the most stable computed form: 112 meV/atom
data_Tm4CdCu2
_cell_length_a 4.7831
_cell_length_b 4.7831
_cell_length_c 26.7701
_cell_angle_alpha 90.00
_cell_angle_beta 90.00
_cell_angle_gamma 120.00
_space_group_name_H-M_alt 'R -3 m'
_space_group_IT_number 166
_space_group_name_Hall '-R 3 2"'
loop_
_atom_site_label
_atom_site_type_symbol
_atom_site_fract_x
_atom_site_fract_y
_atom_site_fract_z
Tm1 Tm 0.0000 0.0000 0.1134
Tm2 Tm 0.0000 0.0000 0.2972
Cd1 Cd 0.0000 0.0000 0.5000
Cu1 Cu 0.0000 0.0000 0.4016

# YTmCdCu (PBE, optimized geometry)
# Energy of formation from the pure elements: -0.96 eV per formula unit
# Total magnetization: 0.000 μB per atom
# Offset from the most stable computed form: 50 meV/atom
data_YTmCdCu
_cell_length_a 7.202
_cell_length_b 7.202
_cell_length_c 7.202
_cell_angle_alpha 90.00
_cell_angle_beta 90.00
_cell_angle_gamma 90.00
_space_group_name_H-M_alt 'F -4 3 m'
_space_group_IT_number 216
_space_group_name_Hall 'F -4 2 3'
loop_
_atom_site_label
_atom_site_type_symbol
_atom_site_fract_x
_atom_site_fract_y
_atom_site_fract_z
Y1 Y 0.000 0.000 0.000
Tm1 Tm 0.000 0.000 0.500
Cd1 Cd 0.250 0.250 0.750
Cu1 Cu 0.250 0.250 0.250

# YTmCdCu (PBE, optimized geometry)
# Energy of formation from the pure elements: -1.16 eV per formula unit
# Total magnetization: 0.000 μB per atom
# Offset from the most stable computed form: 0 meV/atom
data_YTmCdCu
_cell_length_a 3.487
_cell_length_b 3.487
_cell_length_c 7.637
_cell_angle_alpha 90.00
_cell_angle_beta 90.00
_cell_angle_gamma 90.00
_space_group_name_H-M_alt 'P 4 m m'
_space_group_IT_number 99
_space_group_name_Hall 'P 4 -2'
loop_
_atom_site_label
_atom_site_type_symbol
_atom_site_fract_x
_atom_site_fract_y
_atom_site_fract_z
Y1 Y 0.000 0.000 0.000
Tm1 Tm 0.000 0.000 0.557
Cd1 Cd 0.500 0.500 0.283
Cu1 Cu 0.500 0.500 0.768

# Tm2Zn3CdCu12 (PBE, optimized geometry)
# Energy of formation from the pure elements: 0.80 eV per formula unit
# Total magnetization: 0.000 μB per atom
data_Tm2Zn3CdCu12
_cell_length_a 8.8310
_cell_length_b 8.8310
_cell_length_c 12.2661
_cell_angle_alpha 90.00
_cell_angle_beta 90.00
_cell_angle_gamma 120.00
_space_group_name_H-M_alt 'R -3 m'
_space_group_IT_number 166
_space_group_name_Hall '-R 3 2"'
loop_
_atom_site_label
_atom_site_type_symbol
_atom_site_fract_x
_atom_site_fract_y
_atom_site_fract_z
Tm1 Tm 0.0000 0.0000 0.2044
Zn1 Zn 0.0000 0.5000 0.0000
Cd1 Cd 0.0000 0.0000 0.5000
Cu1 Cu 0.0031 0.5016 0.2040
Cu2 Cu 0.0322 0.5161 0.6011

# TmZnCdCu (PBE, optimized geometry)
# Energy of formation from the pure elements: -1.04 eV per formula unit
# Total magnetization: 0.000 μB per atom
data_TmZnCdCu
_cell_length_a 6.661
_cell_length_b 6.661
_cell_length_c 6.661
_cell_angle_alpha 90.00
_cell_angle_beta 90.00
_cell_angle_gamma 90.00
_space_group_name_H-M_alt 'F -4 3 m'
_space_group_IT_number 216
_space_group_name_Hall 'F -4 2 3'
loop_
_atom_site_label
_atom_site_type_symbol
_atom_site_fract_x
_atom_site_fract_y
_atom_site_fract_z
Tm1 Tm 0.000 0.000 0.000
Zn1 Zn 0.250 0.250 0.750
Cd1 Cd 0.000 0.000 0.500
Cu1 Cu 0.250 0.250 0.250

# Tm4Zn2CdCu (PBE, optimized geometry)
# Energy of formation from the pure elements: -2.51 eV per formula unit
# Total magnetization: 0.000 μB per atom
data_Tm4Zn2CdCu
_cell_length_a 5.0193
_cell_length_b 5.0193
_cell_length_c 24.4676
_cell_angle_alpha 90.00
_cell_angle_beta 90.00
_cell_angle_gamma 120.00
_space_group_name_H-M_alt 'R -3 m'
_space_group_IT_number 166
_space_group_name_Hall '-R 3 2"'
loop_
_atom_site_label
_atom_site_type_symbol
_atom_site_fract_x
_atom_site_fract_y
_atom_site_fract_z
Tm1 Tm 0.0000 0.0000 0.1189
Tm2 Tm 0.0000 0.0000 0.3699
Zn1 Zn 0.0000 0.0000 0.2464
Cd1 Cd 0.0000 0.0000 0.5000
Cu1 Cu 0.0000 0.0000 0.0000

# Tm2Zn12CdCu3 (PBE, optimized geometry)
# Energy of formation from the pure elements: 4.48 eV per formula unit
# Total magnetization: 0.000 μB per atom
data_Tm2Zn12CdCu3
_cell_length_a 8.3102
_cell_length_b 8.3102
_cell_length_c 19.2945
_cell_angle_alpha 90.00
_cell_angle_beta 90.00
_cell_angle_gamma 120.00
_space_group_name_H-M_alt 'R -3 m'
_space_group_IT_number 166
_space_group_name_Hall '-R 3 2"'
loop_
_atom_site_label
_atom_site_type_symbol
_atom_site_fract_x
_atom_site_fract_y
_atom_site_fract_z
Tm1 Tm 0.0000 0.0000 0.0884
Zn1 Zn 0.0176 0.5088 0.3439
Zn2 Zn 0.0842 0.5421 0.8773
Cd1 Cd 0.0000 0.0000 0.5000
Cu1 Cu 0.0000 0.5000 0.0000

# UCdCu (PBE, optimized geometry)
# Energy of formation from the pure elements: 0.90 eV per formula unit
# Total magnetization: 0.887 μB per atom
data_UCdCu
_cell_length_a 5.419
_cell_length_b 7.677
_cell_length_c 11.853
_cell_angle_alpha 90.00
_cell_angle_beta 90.00
_cell_angle_gamma 90.00
_space_group_name_H-M_alt 'F m m m'
_space_group_IT_number 69
_space_group_name_Hall '-F 2 2'
loop_
_atom_site_label
_atom_site_type_symbol
_atom_site_fract_x
_atom_site_fract_y
_atom_site_fract_z
U1 U 0.000 0.169 0.000
Cd1 Cd 0.250 0.250 0.250
Cu1 Cu 0.000 0.000 0.392

# UCdCu (PBE, optimized geometry)
# Energy of formation from the pure elements: 0.57 eV per formula unit
# Total magnetization: 0.640 μB per atom
data_UCdCu
_cell_length_a 2.892
_cell_length_b 2.892
_cell_length_c 13.425
_cell_angle_alpha 90.00
_cell_angle_beta 90.00
_cell_angle_gamma 90.00
_space_group_name_H-M_alt 'I 4 m m'
_space_group_IT_number 107
_space_group_name_Hall 'I 4 -2'
loop_
_atom_site_label
_atom_site_type_symbol
_atom_site_fract_x
_atom_site_fract_y
_atom_site_fract_z
U1 U 0.000 0.000 0.000
Cd1 Cd 0.000 0.000 0.301
Cu1 Cu 0.000 0.000 0.660